No. 1
A crystal of Nb3NiOs relaxed with PBEsol, computed with meta-GGA SCAN.

Cell lengths 4.7654, 4.7654, 4.7654 Å; angles 90.00, 90.00, 90.00 degrees
Last column: nearest neighbours and their distance in Å.
Positions (direct):
Ni1 0.5000 0.5000 0.5000  12 Nb 3.37
Nb1 0.0000 0.5000 0.0000  2 Os 2.38
Nb2 0.0000 0.0000 0.5000  2 Os 2.38
Nb3 0.5000 0.0000 0.0000  2 Os 2.38
Os1 0.0000 0.0000 0.0000  6 Nb 2.38

Summary:
Calculated formation energy in eV per atom: 1.286
Uncorrected energy in eV for the cell shown: -181.0

=====

No. 2
A crystal of Nb3NiOs relaxed with PBEsol, computed with meta-GGA SCAN.

Cell lengths 4.4826, 4.4826, 4.4826 Å; angles 90.00, 90.00, 90.00 degrees
Last column: nearest neighbours and their distance in Å.
Positions (direct):
Ni1 0.0000 0.0000 0.0000  6 Nb 2.24
Nb1 0.0000 0.5000 0.0000  2 Ni 2.24
Nb2 0.0000 0.0000 0.5000  2 Ni 2.24
Nb3 0.5000 0.0000 0.0000  2 Ni 2.24
Os1 0.5000 0.5000 0.5000  12 Nb 3.17

Summary:
Calculated formation energy in eV per atom: 1.013
Uncorrected energy in eV for the cell shown: -182.4

=====

No. 3
A crystal of NbNiOsPd2 relaxed with PBEsol, computed with meta-GGA SCAN.

Cell lengths 4.3591, 4.3626, 4.3626 Å; angles 90.00, 90.00, 90.00 degrees
Last column: nearest neighbours and their distance in Å.
Positions (direct):
Ni1 0.0000 0.0000 0.0000  2 Nb 2.18, 4 Pd 2.18
Nb1 0.5000 0.0000 0.0000  2 Ni 2.18
Os1 0.5000 0.5000 0.5000  8 Pd 3.08, 4 Nb 3.08
Pd1 0.0000 0.0000 0.5000  2 Ni 2.18
Pd2 0.0000 0.5000 0.0000  2 Ni 2.18

Summary:
Calculated formation energy in eV per atom: 1.227
Uncorrected energy in eV for the cell shown: -180.6

=====

No. 4
A crystal of Nb3NiP relaxed with PBEsol, computed with meta-GGA SCAN.

Cell lengths 4.5285, 4.5285, 4.5285 Å; angles 90.00, 90.00, 90.00 degrees
Last column: nearest neighbours and their distance in Å.
Positions (direct):
Ni1 0.5000 0.5000 0.5000  12 Nb 3.20
Nb1 0.0000 0.5000 0.0000  2 P 2.26
Nb2 0.0000 0.0000 0.5000  2 P 2.26
Nb3 0.5000 0.0000 0.0000  2 P 2.26
P1 0.0000 0.0000 0.0000  6 Nb 2.26

Summary:
Calculated formation energy in eV per atom: 0.533
Uncorrected energy in eV for the cell shown: -123.3